(1)
Here is an optimized crystal structure of Ti2Ni8Pt from the Alexandria database. Energies are from PBE.

Properties
- Formation energy from the elements: -279 meV/atom

a b c (Å): 3.650 5.859 6.779
angles (deg): 106.46 105.62 90.00
Positions (direct):
Ti1 0.779 0.339 0.559
Ti2 0.221 0.661 0.441
Ni1 0.408 0.549 0.816
Ni2 0.678 0.901 0.357
Ni3 0.857 0.805 0.714
Ni4 0.957 0.277 0.915
Ni5 0.143 0.195 0.286
Ni6 0.322 0.099 0.643
Ni7 0.592 0.451 0.184
Ni8 0.043 0.723 0.085
Pt1 0.500 0.000 0.000

---

(2)
Here is an optimized crystal structure of TiNi5Pt2 from the Alexandria database. Energies are from PBE.

Properties
- Formation energy from the elements: -349 meV/atom

a b c (Å): 3.680 5.237 10.492
angles (deg): 90.00 90.00 90.00
Each line ends with the local moment (μB).
Positions (direct):
Ti1 0.000 0.000 0.500  -0.12
Ti2 0.000 0.500 0.000  -0.12
Ni1 0.000 0.000 0.000  0.36
Ni2 0.000 0.500 0.500  0.36
Ni3 0.000 0.499 0.753  0.41
Ni4 0.000 0.501 0.247  0.41
Ni5 0.000 0.001 0.253  0.41
Ni6 0.000 0.999 0.747  0.41
Ni7 0.500 0.246 0.873  0.32
Ni8 0.500 0.754 0.127  0.32
Ni9 0.500 0.254 0.373  0.32
Ni10 0.500 0.746 0.627  0.32
Pt1 0.500 0.253 0.626  0.11
Pt2 0.500 0.747 0.374  0.11
Pt3 0.500 0.247 0.126  0.11
Pt4 0.500 0.753 0.874  0.11

---

formation energy from the elements of number 2 (TiNi5Pt2)? -349 meV/atom